Below is crystalline NdMn2O5 at its relaxed geometry, with properties calculated at the GGA-PBEsol level. Values from VASP.

Calculated values
ΔE_f (raw) (eV per atom): -2.3048
E_tot (eV/atom): -8.672
Theoretical density (g cm⁻³): 6.1
Space-group type: No. 55

Geometry as Quantum ESPRESSO input:
```
&SYSTEM
  ibrav = 0, nat = 32, ntyp = 3
/
ATOMIC_SPECIES
Nd 144.24 Nd.upf
O 16.00 O.upf
Mn 54.94 Mn.upf
ATOMIC_POSITIONS angstrom
Nd -0.987 -1.521 0.150
O 0.768 -4.484 -1.873
Nd -4.391 -8.489 0.135
Mn -0.959 -5.742 -4.651
Mn -3.255 -3.179 -2.411
O -2.911 -2.599 1.028
O -4.310 -1.813 -1.323
O -4.809 -3.962 -3.222
O -3.503 -4.605 -1.149
Mn 0.105 -2.896 -2.749
O -1.515 -2.981 -1.713
Nd -4.159 -4.688 1.167
O -5.334 -6.305 -0.338
O -2.728 -5.827 -5.295
O -2.120 1.043 -3.365
Mn -4.301 -1.368 0.500
O -1.267 -6.546 -2.975
Nd -1.219 -5.322 -0.881
Mn -7.352 -2.825 0.280
O -7.530 -4.795 -0.218
O -0.814 0.400 -1.292
Mn -1.322 -2.194 -5.014
O -6.796 -5.586 -2.658
O -0.781 -3.771 -4.153
O -2.467 -7.411 -0.743
O -4.001 -6.753 -3.048
O -2.977 -2.262 -4.034
O -6.146 -5.526 2.159
O -7.044 -2.020 -1.396
Mn -5.727 -0.666 -1.765
Mn -5.056 -5.387 -1.960
O -5.583 -2.739 0.924
CELL_PARAMETERS angstrom
-2.934 1.443 -4.657
1.717 -6.533 -3.106
-7.094 -3.477 3.392
```

***

Below is crystalline AgSb2Br at its relaxed geometry, with properties calculated at the GGA-PBEsol level. Values from VASP.

Calculated values
ΔE_f (raw) (eV per atom): -0.0095
D(E_F) (states/eV per cell): 1.16
Excess energy over the best structure of this formula in the dataset (eV/atom): 0.095
E_tot (eV/atom): -3.583
Theoretical density (g cm⁻³): 6.8
Space-group type: No. 10

Geometry as Quantum ESPRESSO input:
```
&SYSTEM
  ibrav = 0, nat = 4, ntyp = 3
/
ATOMIC_SPECIES
Ag 107.87 Ag.upf
Br 79.90 Br.upf
Sb 121.76 Sb.upf
ATOMIC_POSITIONS angstrom
Ag -0.858 -1.783 -2.580
Br 1.048 -3.350 0.178
Sb -1.157 -0.917 0.074
Sb -2.719 -3.470 1.404
CELL_PARAMETERS angstrom
-3.844 -0.626 -2.020
2.129 -2.939 -3.141
-0.032 -3.760 3.498
```

***

Below is crystalline YSO4F at its relaxed geometry, with properties calculated at the GGA-PBEsol level. Values from VASP.

Calculated values
ΔE_f (raw) (eV per atom): -2.5874
D(E_F) (states/eV per cell): 0.00
E_tot (eV/atom): -7.463
Theoretical density (g cm⁻³): 3.7
Space-group type: No. 62

Geometry as Quantum ESPRESSO input:
```
&SYSTEM
  ibrav = 0, nat = 28, ntyp = 4
/
ATOMIC_SPECIES
Y 88.91 Y.upf
S 32.06 S.upf
O 16.00 O.upf
F 19.00 F.upf
ATOMIC_POSITIONS angstrom
Y -5.355 -3.373 4.016
S -2.376 2.116 8.769
O -0.263 -0.189 6.725
O -2.254 -0.029 5.339
O -5.277 -0.249 0.598
O -2.229 -1.569 7.102
O -3.058 -3.456 3.911
Y -4.337 -0.198 6.775
O -2.715 1.047 7.840
O -3.696 4.799 6.541
F -2.209 3.172 5.098
O -5.252 -1.790 2.362
O -4.500 1.372 5.112
Y -1.399 4.716 6.436
O -1.502 3.133 8.090
F -1.372 0.092 2.396
O -1.477 1.592 9.853
O -4.039 0.296 2.611
O -5.935 3.320 5.280
S -4.378 -0.773 1.682
Y -2.418 1.541 3.677
O -6.491 1.533 3.727
O -4.526 2.912 3.349
S -1.323 -0.952 6.074
O -0.820 -1.977 5.171
F -4.545 -1.828 5.354
S -5.431 2.295 4.377
F -5.382 1.251 8.056
CELL_PARAMETERS angstrom
-6.339 -0.328 -0.196
0.074 -4.549 5.207
-0.489 6.220 5.440
```

***

Below is crystalline SmAlAg2 at its relaxed geometry, with properties calculated at the GGA-PBEsol level. Values from VASP.

Calculated values
D(E_F) (states/eV per cell): 1.53
Formation energy from the elements (kJ per mole of atoms): -32.0
E_tot (eV/atom): -4.284
Theoretical density (g cm⁻³): 8.2
Space-group type: No. 225

Geometry as Quantum ESPRESSO input:
```
&SYSTEM
  ibrav = 0, nat = 4, ntyp = 3
/
ATOMIC_SPECIES
Al 26.98 Al.upf
Sm 150.36 Sm.upf
Ag 107.87 Ag.upf
ATOMIC_POSITIONS angstrom
Al -4.726 -3.534 0.036
Sm 0.000 0.000 0.000
Ag -7.089 -5.302 0.054
Ag -2.363 -1.767 0.018
CELL_PARAMETERS angstrom
-2.555 -3.180 -2.566
-2.101 -3.738 2.199
-4.796 -0.152 0.439
```

***

| no. | total moment (Bohr magnetons per cell) |
| --- | --- |
| 1 | 28.02 |
| 2 | 0.00 |
| 3 | 0.00 |
| 4 | 0.00 |